# Cd2AgAu3

A relaxed Cd2AgAu3 crystal (PBE-GGA, Alexandria).

- Final energy: -0.0937 hartree per atom
- E_form: -0.13 eV/atom
- SG: Cmmm, No. 65
- Size of the total moment: 0.00 Bohr magnetons per cell
- Density of states at the Fermi level: 0.33 states/eV per atom

The structure in POSCAR format:
```
Cd2AgAu3
1.0
-1.482 -1.840 -3.492
2.718 -3.214 0.540
-5.669 -1.458 3.174
Cd Ag Au
2 1 3
direct
0.000 0.663 0.325 Cd
0.000 0.337 0.675 Cd
0.000 0.000 0.000 Ag
0.500 0.166 0.332 Au
0.500 0.500 0.000 Au
0.500 0.834 0.668 Au
```